[1]
Density functional theory data (PBE-GGA) for crystalline CdInHg2 at its relaxed geometry.

Values from the calculation:
Energy: -4.130 eV/cell
Volume: 25.8 A^3/atom

a b c (Å): 5.2660 5.2660 5.2660
angles (deg): 60.00 60.00 60.00
Closest atoms and distances in Å follow each position.
Fractional positions:
Cd (0.0000, 0.0000, 0.0000)  4 Hg 3.22, 4 In 3.22
In (0.2500, 0.2500, 0.2500)  4 Hg 3.22, 4 Cd 3.22
Hg (0.5000, 0.5000, 0.5000)  4 Hg 3.22, 4 In 3.22
Hg (0.7500, 0.7500, 0.7500)  4 Hg 3.22, 4 Cd 3.22


[2]
Density functional theory data (PBE-GGA) for crystalline Ho5ErPb4 at its relaxed geometry.

Values from the calculation:
Energy: -44.192 eV/cell
Volume: 31.0 A^3/atom

a b c (Å): 8.9610 8.9610 9.7242
angles (deg): 92.13 92.13 23.45
Closest atoms and distances in Å follow each position.
Fractional positions:
Ho (0.0000, 0.0000, 0.0000)  4 Pb 3.08
Ho (0.3090, 0.3090, 0.1111)  1 Pb 3.16, 2 Ho 3.45
Ho (0.3447, 0.3447, 0.7438)  2 Pb 3.17-3.28
Ho (0.6553, 0.6553, 0.2562)  2 Pb 3.17-3.28
Ho (0.6910, 0.6910, 0.8889)  1 Pb 3.16, 2 Ho 3.45
Er (0.0000, 0.0000, 0.5000)  6 Pb 3.06-3.23
Pb (0.1817, 0.1817, 0.5677)  1 Er 3.23, 5 Ho 3.28-3.61, 2 Pb 3.32
Pb (0.4747, 0.4747, 0.2497)  2 Er 3.06, 4 Ho 3.08-3.17
Pb (0.5253, 0.5253, 0.7503)  2 Er 3.06, 4 Ho 3.08-3.17
Pb (0.8183, 0.8183, 0.4323)  1 Er 3.23, 5 Ho 3.28-3.61, 2 Pb 3.32


[3]
Density functional theory data (PBE-GGA) for crystalline Ac2AlGeAu at its relaxed geometry.

Values from the calculation:
Energy: -45.895 eV/cell
Volume: 29.6 A^3/atom

a b c (Å): 7.9555 4.6702 7.9886
angles (deg): 90.00 92.93 90.00
Closest atoms and distances in Å follow each position.
Fractional positions:
Ac (0.0091, 0.2500, 0.2074)  3 Ge 3.27-3.31, 3 Al 3.29-3.41, 3 Au 3.33-3.45
Ac (0.4868, 0.2500, 0.2440)  3 Ge 3.23-3.28, 3 Au 3.42-3.58, 3 Al 3.57-3.61
Ac (0.5132, 0.7500, 0.7560)  3 Ge 3.23-3.28, 3 Au 3.42-3.58, 3 Al 3.57-3.61
Ac (0.9909, 0.7500, 0.7926)  3 Ge 3.27-3.31, 3 Al 3.29-3.41, 3 Au 3.33-3.45
Al (0.2068, 0.2500, 0.5793)  1 Ge 2.53, 2 Au 2.61
Al (0.7932, 0.7500, 0.4207)  1 Ge 2.53, 2 Au 2.61
Ge (0.2658, 0.2500, 0.8935)  1 Al 2.53
Ge (0.7342, 0.7500, 0.1065)  1 Al 2.53
Au (0.2138, 0.7500, 0.4337)  2 Al 2.61
Au (0.7862, 0.2500, 0.5663)  2 Al 2.61


[4]
Density functional theory data (PBE-GGA) for crystalline TaTePb2 at its relaxed geometry.

Values from the calculation:
Energy: -19.997 eV/cell
Volume: 25.5 A^3/atom

a b c (Å): 3.4769 5.2294 5.6130
angles (deg): 90.00 90.00 90.00
Closest atoms and distances in Å follow each position.
Fractional positions:
Ta (0.0000, 0.0000, 0.0000)  4 Te 3.14, 4 Pb 3.30, 2 Ta 3.48
Te (0.5000, 0.5000, 0.0000)  4 Ta 3.14, 4 Pb 3.30, 2 Te 3.48
Pb (0.0000, 0.5000, 0.5000)  6 Pb 3.14-3.48, 4 Te 3.30
Pb (0.5000, 0.0000, 0.5000)  6 Pb 3.14-3.48, 4 Ta 3.30


[5]
Density functional theory data (PBE-GGA) for crystalline KCu4As3 at its relaxed geometry.

Values from the calculation:
Energy: -32.237 eV/cell
Volume: 17.9 A^3/atom

a b c (Å): 4.2781 4.2781 7.8089
angles (deg): 90.00 90.00 90.00
Closest atoms and distances in Å follow each position.
Fractional positions:
K (0.0000, 0.0000, 0.0000)  8 As 3.29, 8 Cu 3.34
Cu (0.0000, 0.5000, 0.3279)  4 As 2.48-2.53, 1 Cu 2.69
Cu (0.0000, 0.5000, 0.6721)  4 As 2.48-2.53, 1 Cu 2.69
Cu (0.5000, 0.0000, 0.3279)  4 As 2.48-2.53, 1 Cu 2.69
Cu (0.5000, 0.0000, 0.6721)  4 As 2.48-2.53, 1 Cu 2.69
As (0.0000, 0.0000, 0.5000)  8 Cu 2.53
As (0.5000, 0.5000, 0.1665)  4 Cu 2.48, 1 As 2.60
As (0.5000, 0.5000, 0.8335)  4 Cu 2.48, 1 As 2.60


[6]
Density functional theory data (PBE-GGA) for crystalline BC3 at its relaxed geometry.

Values from the calculation:
ΔE to the lowest computed polymorph: 88 meV/atom
Volume: 6.2 A^3/atom

a b c (Å): 3.6979 2.5326 7.9428
angles (deg): 90.00 92.29 90.00
Closest atoms and distances in Å follow each position.
Fractional positions:
B (0.0000, 0.0000, 0.0000)  3 C 1.57-1.61
B (0.2036, 0.0000, 0.2229)  1 C 1.54, 2 B 1.72
B (0.5014, 0.5000, 0.1794)  2 C 1.57-1.72, 2 B 1.72
C (0.2290, 0.0000, 0.5331)  4 C 1.56-1.58
C (0.2570, 0.0000, 0.8478)  3 C 1.55-1.57, 1 B 1.57
C (0.4738, 0.5000, 0.5308)  4 C 1.55-1.58
C (0.5004, 0.5000, 0.8483)  4 C 1.55-1.57
C (0.7172, 0.5000, 0.3759)  3 C 1.54-1.55, 1 B 1.72
C (0.7350, 0.5000, 0.0179)  1 C 1.57, 3 B 1.57-1.61
C (0.7420, 0.5000, 0.6910)  4 C 1.56-1.58
C (0.9561, 0.0000, 0.3748)  1 B 1.54, 3 C 1.54-1.58
C (0.9887, 0.0000, 0.6899)  4 C 1.56-1.57